(1)
Below is an optimized crystal structure of InSiW2, with properties calculated at the PBE level.

```
InSiW2
1.0
3.086 0.000 0.000
0.000 3.086 0.000
0.000 0.000 7.085
In Si W
1 1 2
Cartesian
0.000 0.000 0.000
0.000 0.000 3.543
1.543 1.543 2.196
1.543 1.543 4.889
```

Results
**E_form (uncorrected)**: 7.403 kcal/mol of atoms
**Total DFT energy (no corrections)**: -8.1959 eV/atom
**Distance to the lowest polymorph of the same formula**: 109 meV per atom

(2)
Below is an optimized crystal structure of In2SiW, with properties calculated at the PBE level.

```
In2SiW
1.0
3.026 0.000 0.000
0.000 4.586 0.000
0.000 0.000 5.458
In Si W
2 1 1
Cartesian
0.019 0.000 1.354
3.007 0.000 4.103
1.513 2.293 2.729
1.513 2.293 0.000
```

Results
**E_form (uncorrected)**: 14.765 kcal/mol of atoms
**Total DFT energy (no corrections)**: -5.3230 eV/atom